Entry 1:
The following is a DFT calculation (GGA-PBE) of a relaxed structure of Y2Ga2Rh.

**Energy above the most stable polymorph in this dataset**: 0 meV/atom
**Total magnetization**: 0.0000 μB/atom
**Formation energy**: -786 meV/atom
**DOS at the Fermi energy**: 3.21 states/eV/f.u.
**Symmetry**: C2/m

Lattice parameters (Å, degrees): 4.239 5.855 9.508 81.71 77.12 68.78
Positions (direct):
Rh 0.777 0.089 0.357
Rh 0.223 0.911 0.643
Y 0.312 0.258 0.117
Y 0.688 0.742 0.883
Y 0.496 0.680 0.328
Y 0.504 0.320 0.672
Ga 0.019 0.846 0.115
Ga 0.981 0.154 0.885
Ga 0.144 0.270 0.442
Ga 0.856 0.730 0.558

Entry 2:
The following is a DFT calculation (GGA-PBE) of a relaxed structure of CaSc2Rh.

**Energy above the most stable polymorph in this dataset**: 216 meV/atom
**Total magnetization**: 0.0000 μB/atom
**Formation energy**: -177 meV/atom
**DOS at the Fermi energy**: 3.61 states/eV/f.u.
**Symmetry**: Fm-3m

Lattice parameters (Å, degrees): 4.908 4.908 4.908 60.00 60.00 60.00
Positions (direct):
Sc 0.750 0.750 0.750
Sc 0.250 0.250 0.250
Ca 0.000 0.000 0.000
Rh 0.500 0.500 0.500

Entry 3:
The following is a DFT calculation (GGA-PBE) of a relaxed structure of KTa2Hg.

**Total magnetization**: 0.0000 μB/atom
**Formation energy**: 1256 meV/atom
**DOS at the Fermi energy**: 5.25 states/eV/f.u.
**Symmetry**: I4/mmm

Lattice parameters (Å, degrees): 6.207 6.207 6.207 141.57 141.57 55.48
Positions (direct):
Ta 0.500 0.500 0.000
Ta 0.000 0.000 0.000
Hg 0.250 0.750 0.500
K 0.750 0.250 0.500

Entry 4:
The following is a DFT calculation (GGA-PBE) of a relaxed structure of NpCdGa2.

**Energy above the most stable polymorph in this dataset**: 0 meV/atom
**Total magnetization**: 1.0378 μB/atom
**Formation energy**: 9 meV/atom
**DOS at the Fermi energy**: 8.22 states/eV/f.u.
**Symmetry**: Fm-3m

Lattice parameters (Å, degrees): 4.906 4.906 4.906 60.00 60.00 60.00
Last column: magnetic moment on the atom in μB.
Positions (direct):
Ga 0.750 0.750 0.750  0.02
Ga 0.250 0.250 0.250  0.02
Cd 0.500 0.500 0.500  -0.01
Np 0.000 0.000 0.000  3.91

Entry 5:
The following is a DFT calculation (GGA-PBE) of a relaxed structure of IrRuSe2.

**Energy above the most stable polymorph in this dataset**: 247 meV/atom
**Total magnetization**: 0.0000 μB/atom
**Uncorrected formation energy**: 0.296 eV/atom
**DOS at the Fermi energy**: 4.02 states/eV/f.u.
**Symmetry**: R-3m

Lattice parameters (Å, degrees): 8.345 8.345 8.345 21.94 21.94 21.94
Positions (direct):
Se 0.903 0.903 0.903
Se 0.097 0.097 0.097
Ir 0.000 0.000 0.000
Ru 0.500 0.500 0.500

Entry 6:
The following is a DFT calculation (GGA-PBE) of a relaxed structure of BaCdSn2Pb.

**Energy above the most stable polymorph in this dataset**: 443 meV/atom
**Total magnetization**: 0.0000 μB/atom
**Formation energy**: 127 meV/atom
**DOS at the Fermi energy**: 3.57 states/eV/f.u.
**Symmetry**: P4/mmm

Lattice parameters (Å, degrees): 5.859 5.741 5.859 90.00 90.00 90.00
Positions (direct):
Sn 0.000 0.000 0.500
Sn 0.500 0.000 0.000
Cd 0.000 0.500 0.000
Pb 0.000 0.000 0.000
Ba 0.500 0.500 0.500